The following is a DFT calculation (PBE) of LaSi2Ag after structural relaxation.

a b c (Å): 6.150 6.150 6.150
angles (deg): 143.86 139.91 55.06
Element x y z (fractional)
La: 0.000 0.000 0.000
Si: 0.235 0.735 0.500
Si: 0.381 0.381 0.000
Ag: 0.741 0.241 0.500

Results
Its crystal system is orthorhombic. The value obtained for the density is 5.7 g cm⁻³. Its density of states at the Fermi level is 1.8 states/eV/cell. The value obtained for the formation energy (no corrections) is -0.27 eV per atom.